## Fe4Co (GGA-PBEsol)

Data for a geometry-optimized Fe4Co structure.

The crystal system is tetragonal. For the excess energy over the best structure of this formula in the dataset, the calculation gives 0.00 eV per formula unit. The formation energy is 12 meV per atom. The calculation puts the magnetization at 11.47 μB/f.u. The energy is -8.706 eV per atom. For the calculated volume, the calculation gives 10.97 Å³/atom.

The space group is I4/mmm (No. 139) and the conventional cell measures 2.7924, 2.7924 and 14.0669 Å, with angles of 90.00, 90.00 and 90.00 degrees. The inequivalent atoms are Fe at (0.0000, 0.0000, 0.0993), Fe at (0.0000, 0.0000, 0.2995) and Co at (0.0000, 0.0000, 0.5000).

## Cr2Au (GGA-PBEsol)

Data for a geometry-optimized Cr2Au structure.

The crystal system is trigonal. The formation energy is 341 meV per atom. The calculation puts the magnetization at 0.00 μB/f.u. The energy is -7.795 eV per atom. For the calculated volume, the calculation gives 13.80 Å³/atom.

The space group is P-3m1 (No. 164) and the conventional cell measures 2.8083, 2.8083 and 6.0625 Å, with angles of 90.00, 90.00 and 120.00 degrees. The inequivalent atoms are Cr at (0.3333, 0.6667, 0.3781) and Au at (0.0000, 0.0000, 0.0000).

## MgTe2H (GGA-PBEsol)

Data for a geometry-optimized MgTe2H structure.

The crystal system is trigonal. For the excess energy over the best structure of this formula in the dataset, the calculation gives 0.00 eV per formula unit. The calculation puts the magnetization at 0.00 μB/f.u. The energy is -3.140 eV per atom. For the calculated volume, the calculation gives 27.99 Å³/atom.

The space group is R-3m (No. 166, hexagonal axes) and the conventional cell measures 4.4149, 4.4149 and 19.9004 Å, with angles of 90.00, 90.00 and 120.00 degrees. The inequivalent atoms are Mg at (0.0000, 0.0000, 0.0000), Te at (0.0000, 0.0000, 0.4037) and H at (0.0000, 0.0000, 0.5000).

## BaLaAl4 (GGA-PBEsol)

Data for a geometry-optimized BaLaAl4 structure.

The crystal system is cubic. The formation energy is -339 meV per atom. The calculation puts the magnetization at 0.00 μB/f.u. The energy is -4.316 eV per atom. For the calculated volume, the calculation gives 23.10 Å³/atom.

The space group is F-43m (No. 216) and the conventional cell measures 8.2150, 8.2150 and 8.2150 Å, with angles of 90.00, 90.00 and 90.00 degrees. The inequivalent atoms are Ba at (0.0000, 0.0000, 0.0000), La at (0.2500, 0.2500, 0.7500) and Al at (0.1244, 0.1244, 0.3756).

## K2PdBrCl3 (GGA-PBEsol)

Data for a geometry-optimized K2PdBrCl3 structure.

The crystal system is orthorhombic. The calculation puts the magnetization at 0.00 μB/f.u. The energy is -3.614 eV per atom. For the energy relative to the elements, uncorrected, the calculation gives -1.31 eV per atom. For the calculated volume, the calculation gives 29.27 Å³/atom.

The space group is Amm2 (No. 38) and the conventional cell measures 4.1178, 10.2644 and 9.6945 Å, with angles of 90.00, 90.00 and 90.00 degrees. The inequivalent atoms are K at (0.0000, 0.2393, 0.0000), Pd at (0.5000, 0.0000, 0.2514), Br at (0.5000, 0.0000, 0.5001), Cl at (0.5000, 0.0000, 0.0136) and Cl at (0.5000, 0.2235, 0.2512).

## La4YCl (GGA-PBEsol)

Data for a geometry-optimized La4YCl structure.

The crystal system is cubic. The calculation puts the magnetization at 0.01 μB/f.u. The energy is -4.841 eV per atom. For the energy relative to the elements, uncorrected, the calculation gives 0.19 eV per atom. For the calculated volume, the calculation gives 32.69 Å³/atom.

The space group is F-43m (No. 216) and the conventional cell measures 9.2235, 9.2235 and 9.2235 Å, with angles of 90.00, 90.00 and 90.00 degrees. The inequivalent atoms are La at (0.1214, 0.1214, 0.3786), Y at (0.2500, 0.2500, 0.7500) and Cl at (0.0000, 0.0000, 0.0000).

## Mg4TlCd (GGA-PBEsol)

Data for a geometry-optimized Mg4TlCd structure.

The crystal system is cubic. The formation energy is 70 meV per atom. The calculation puts the magnetization at 0.00 μB/f.u. The energy is -1.712 eV per atom. For the calculated volume, the calculation gives 23.43 Å³/atom.

The space group is F-43m (No. 216) and the conventional cell measures 8.2537, 8.2537 and 8.2537 Å, with angles of 90.00, 90.00 and 90.00 degrees. The inequivalent atoms are Mg at (0.1247, 0.1247, 0.1247), Tl at (0.0000, 0.0000, 0.5000) and Cd at (0.2500, 0.2500, 0.7500).

## Tl2GeTe5 (GGA-PBEsol)

Data for a geometry-optimized Tl2GeTe5 structure.

The crystal system is tetragonal. The calculation puts the magnetization at 0.00 μB/f.u. The energy is -3.605 eV per atom. For the energy relative to the elements, uncorrected, the calculation gives -0.13 eV per atom. For the calculated volume, the calculation gives 30.70 Å³/atom.

The space group is P4/mbm (No. 127) and the conventional cell measures 8.1510, 8.1510 and 14.7887 Å, with angles of 90.00, 90.00 and 90.00 degrees. The inequivalent atoms are Tl at (0.0000, 0.0000, 0.1202), Tl at (0.0000, 0.0000, 0.3763), Ge at (0.0000, 0.5000, 0.1193), Te at (0.0000, 0.5000, 0.3724), Te at (0.1735, 0.3265, 0.0000), Te at (0.1850, 0.6850, 0.2224) and Te at (0.1955, 0.6955, 0.5000).